An optimized crystal structure of UCoCuO6, computed with PBE with a Hubbard U.

Structure (POSCAR):
```
UCoCuO6
1.0
5.096 0.000 0.000
-2.548 4.413 0.000
0.000 0.000 8.890
U Co Cu O
2 2 2 12
Direct
0.333 0.667 0.250 U
0.667 0.333 0.750 U
0.333 0.667 0.750 Co
0.667 0.333 0.250 Co
0.000 0.000 0.000 Cu
0.000 0.000 0.500 Cu
0.023 0.354 0.629 O
0.023 0.669 0.871 O
0.331 0.354 0.871 O
0.331 0.977 0.629 O
0.354 0.023 0.129 O
0.354 0.331 0.371 O
0.646 0.669 0.629 O
0.646 0.977 0.871 O
0.669 0.023 0.371 O
0.669 0.646 0.129 O
0.977 0.331 0.129 O
0.977 0.646 0.371 O
```

Properties
* E_tot: -7.193 eV per atom